Density functional theory data (PBE-GGA) for a relaxed Ac2Pr3TmTe6 crystal.

```
data_Ac2Pr3TmTe6
_chemical_formula_sum 'Ac2 Pr3 Tm1 Te6'
_symmetry_space_group_name_H-M 'P 1'
_symmetry_Int_Tables_number 1
_symmetry_space_group_name_Hall 'P 1'
_cell_length_a 7.9012
_cell_length_b 7.9012
_cell_length_c 7.8887
_cell_angle_alpha 99.59
_cell_angle_beta 99.59
_cell_angle_gamma 119.84
loop_
_atom_site_label
_atom_site_type_symbol
_atom_site_fract_x
_atom_site_fract_y
_atom_site_fract_z
Te1 Te 0.0798 0.3934 0.2460
Te2 Te 0.3934 0.0798 0.2460
Te3 Te 0.7760 0.7760 0.2612
Te4 Te 0.9202 0.6066 0.7540
Te5 Te 0.2240 0.2240 0.7388
Te6 Te 0.6066 0.9202 0.7540
Tm1 Tm 0.0000 0.0000 0.0000
Pr1 Pr 0.8180 0.1820 0.5000
Pr2 Pr 0.5000 0.5000 0.5000
Pr3 Pr 0.1820 0.8180 0.5000
Ac1 Ac 0.3356 0.6644 0.0000
Ac2 Ac 0.6644 0.3356 0.0000
```

Values from the calculation:
Its space group is C2/m, No. 12. The crystal system is monoclinic. The uncorrected energy is -5.23 eV/atom. The magnetic moment comes out at 0.00 μB/f.u.